[1]
The following is a DFT calculation (PBE) of a geometry-optimized Y2HgClO structure.

The space group is P4/mmm (No. 123) and the conventional cell measures 5.099, 5.099 and 5.406 Å, with angles of 90.00, 90.00 and 90.00 degrees. Symmetry generates all atoms from Y at (0.000, 0.500, 0.000), Hg at (0.000, 0.000, 0.500), Cl at (0.000, 0.000, 0.000) and O at (0.500, 0.500, 0.500).

The calculation puts the raw formation energy at 0.1215 eV/atom. The density of states at the Fermi level comes out at 0.995 states/eV per atom. Its density is 5.08 g/cm³. The magnetic moment comes out at 0.000 μB per atom.


[2]
The following is a DFT calculation (PBE) of a geometry-optimized YHgClO2 structure.

The space group is P2_1/m (No. 11) and the conventional cell measures 6.706, 4.034 and 9.454 Å, with angles of 90.00, 94.98 and 90.00 degrees. Symmetry generates all atoms from Y at (0.226, 0.250, 0.062), Hg at (0.221, 0.750, 0.491), Cl at (0.459, 0.250, 0.840), O at (0.090, 0.750, 0.140) and O at (0.124, 0.750, 0.984).

The calculation puts the raw formation energy at -1.6160 eV/atom. The density of states at the Fermi level comes out at 0.000 states/eV per atom. Its density is 4.65 g/cm³. The magnetic moment comes out at 0.000 μB per atom.


[3]
The following is a DFT calculation (PBE) of a geometry-optimized HgOsCl structure.

The space group is P-6m2 (No. 187) and the conventional cell measures 4.5397, 4.5397 and 3.0381 Å, with angles of 90.00, 90.00 and 120.00 degrees. Symmetry generates all atoms from Hg at (0.0000, 0.0000, 0.0000), Os at (0.3333, 0.6667, 0.5000) and Cl at (0.6667, 0.3333, 0.5000).

The calculation puts the raw formation energy at 1.1296 eV/atom. The density of states at the Fermi level comes out at 1.155 states/eV per atom. Its density is 13.05 g/cm³. The magnetic moment comes out at 0.397 μB per atom.


[4]
The following is a DFT calculation (PBE) of a geometry-optimized HgOsCl structure.

The space group is I4mm (No. 107) and the conventional cell measures 3.027, 3.027 and 13.099 Å, with angles of 90.00, 90.00 and 90.00 degrees. Symmetry generates all atoms from Hg at (0.000, 0.000, 0.000), Os at (0.000, 0.000, 0.647) and Cl at (0.000, 0.000, 0.275).

The calculation puts the raw formation energy at 1.0072 eV/atom. The density of states at the Fermi level comes out at 1.047 states/eV per atom. Its density is 11.79 g/cm³. The magnetic moment comes out at 0.587 μB per atom.


[5]
The following is a DFT calculation (PBE) of a geometry-optimized HgOsCl2 structure.

The space group is C2/m (No. 12) and the conventional cell measures 6.324, 3.651 and 9.546 Å, with angles of 90.00, 101.93 and 90.00 degrees. Symmetry generates all atoms from Hg at (0.000, 0.000, 0.000), Os at (0.000, 0.500, 0.500) and Cl at (0.206, 0.000, 0.625).

The calculation puts the raw formation energy at 0.1669 eV/atom. Its density is 7.11 g/cm³. The magnetic moment comes out at 0.000 μB per atom.


[6]
The following is a DFT calculation (PBE) of a geometry-optimized HgOsCl structure.

The space group is Imm2 (No. 44) and the conventional cell measures 2.885, 3.687 and 11.017 Å, with angles of 90.00, 90.00 and 90.00 degrees. Symmetry generates all atoms from Hg at (0.000, 0.000, 0.000), Os at (0.000, 0.000, 0.719) and Cl at (0.000, 0.000, 0.280).

The calculation puts the raw formation energy at 1.0753 eV/atom. The density of states at the Fermi level comes out at 0.858 states/eV per atom. Its density is 12.08 g/cm³. The magnetic moment comes out at 0.000 μB per atom.


[7]
The following is a DFT calculation (PBE) of a geometry-optimized HgOsCl2 structure.

The space group is I-42d (No. 122) and the conventional cell measures 8.201, 8.201 and 5.513 Å, with angles of 90.00, 90.00 and 90.00 degrees. Symmetry generates all atoms from Hg at (0.000, 0.000, 0.000), Os at (0.000, 0.000, 0.500) and Cl at (0.121, 0.250, 0.625).

The calculation puts the raw formation energy at 0.3090 eV/atom. The density of states at the Fermi level comes out at 0.785 states/eV per atom. Its density is 8.27 g/cm³. The magnetic moment comes out at 0.106 μB per atom.


[8]
The following is a DFT calculation (PBE) of a geometry-optimized HgOsCl2 structure.

The space group is P4/mmm (No. 123) and the conventional cell measures 3.124, 3.124 and 9.924 Å, with angles of 90.00, 90.00 and 90.00 degrees. Symmetry generates all atoms from Hg at (0.000, 0.000, 0.000), Os at (0.000, 0.000, 0.500) and Cl at (0.500, 0.500, 0.335).

The calculation puts the raw formation energy at 0.6810 eV/atom. The density of states at the Fermi level comes out at 0.709 states/eV per atom. Its density is 7.92 g/cm³. The magnetic moment comes out at 0.868 μB per atom.


Copy entry 6 word for word.
The following is a DFT calculation (PBE) of a geometry-optimized HgOsCl structure.

The space group is Imm2 (No. 44) and the conventional cell measures 2.885, 3.687 and 11.017 Å, with angles of 90.00, 90.00 and 90.00 degrees. Symmetry generates all atoms from Hg at (0.000, 0.000, 0.000), Os at (0.000, 0.000, 0.719) and Cl at (0.000, 0.000, 0.280).

The calculation puts the raw formation energy at 1.0753 eV/atom. The density of states at the Fermi level comes out at 0.858 states/eV per atom. Its density is 12.08 g/cm³. The magnetic moment comes out at 0.000 μB per atom.


> Which value of raw formation energy does entry 4 give?

1.0072 eV/atom


> Look up the magnetic moment of the fifth one.

0.000 μB per atom